# PBE HgBiF3, relaxed
data_HgBiF3
_space_group_name_H-M_alt 'P 1'
_space_group_IT_number 1
_cell_length_a 8.257
_cell_length_b 8.257
_cell_length_c 8.257
_cell_angle_alpha 45.00
_cell_angle_beta 45.00
_cell_angle_gamma 45.00
loop_
_space_group_symop_operation_xyz
'x,y,z'
loop_
_atom_site_label
_atom_site_fract_x
_atom_site_fract_y
_atom_site_fract_z
_atom_site_occupancy
Hg1 0.157 0.157 0.157 1
Hg2 0.843 0.843 0.843 1
Bi1 0.313 0.313 0.313 1
Bi2 0.687 0.687 0.687 1
F1 0.110 0.644 0.377 1
F2 0.356 0.623 0.890 1
F3 0.377 0.110 0.644 1
F4 0.623 0.890 0.356 1
F5 0.644 0.377 0.110 1
F6 0.890 0.356 0.623 1
# Formation energy without anion corrections ... -1.88 eV/atom
# Magnetization ... 0.00 μB per cell
# Calculated volume ... 25.63 Å³/atom
# ΔE to the lowest computed polymorph ... 0.00 kcal/mol of atoms



# PBE HgBiIF2, relaxed
data_HgBiIF2
_space_group_name_H-M_alt 'P 1'
_space_group_IT_number 1
_cell_length_a 4.664
_cell_length_b 4.664
_cell_length_c 6.544
_cell_angle_alpha 90.00
_cell_angle_beta 90.00
_cell_angle_gamma 90.00
loop_
_space_group_symop_operation_xyz
'x,y,z'
loop_
_atom_site_label
_atom_site_fract_x
_atom_site_fract_y
_atom_site_fract_z
_atom_site_occupancy
Hg1 0.000 0.000 0.000 1
Bi1 0.500 0.500 0.500 1
I1 0.500 0.500 0.000 1
F1 0.000 0.500 0.500 1
F2 0.500 0.000 0.500 1
# Formation energy without anion corrections ... -1.20 eV/atom
# Magnetization ... 0.05 μB per cell
# Calculated volume ... 28.47 Å³/atom
# ΔE to the lowest computed polymorph ... 1.93 kcal/mol of atoms



# PBE Hg2BiIF, relaxed
data_Hg2BiIF
_space_group_name_H-M_alt 'P 1'
_space_group_IT_number 1
_cell_length_a 5.902
_cell_length_b 5.902
_cell_length_c 4.558
_cell_angle_alpha 90.00
_cell_angle_beta 90.00
_cell_angle_gamma 90.00
loop_
_space_group_symop_operation_xyz
'x,y,z'
loop_
_atom_site_label
_atom_site_fract_x
_atom_site_fract_y
_atom_site_fract_z
_atom_site_occupancy
Hg1 0.000 0.500 0.000 1
Hg2 0.500 0.000 0.000 1
Bi1 0.000 0.000 0.000 1
I1 0.500 0.500 0.500 1
F1 0.000 0.000 0.500 1
# Formation energy without anion corrections ... -0.63 eV/atom
# Magnetization ... 0.00 μB per cell
# Calculated volume ... 31.76 Å³/atom



# PBE HgBiIF2, relaxed
data_HgBiIF2
_space_group_name_H-M_alt 'P 1'
_space_group_IT_number 1
_cell_length_a 4.560
_cell_length_b 4.560
_cell_length_c 6.129
_cell_angle_alpha 90.00
_cell_angle_beta 90.00
_cell_angle_gamma 90.00
loop_
_space_group_symop_operation_xyz
'x,y,z'
loop_
_atom_site_label
_atom_site_fract_x
_atom_site_fract_y
_atom_site_fract_z
_atom_site_occupancy
Hg1 0.000 0.000 0.000 1
Bi1 0.000 0.000 0.500 1
I1 0.500 0.500 0.000 1
F1 0.000 0.500 0.500 1
F2 0.500 0.000 0.500 1
# Formation energy without anion corrections ... -1.29 eV/atom
# Magnetization ... 0.00 μB per cell
# Calculated volume ... 25.49 Å³/atom
# ΔE to the lowest computed polymorph ... 0.00 kcal/mol of atoms



# PBE InHgBiF2, relaxed
data_InHgBiF2
_space_group_name_H-M_alt 'P 1'
_space_group_IT_number 1
_cell_length_a 4.374
_cell_length_b 4.374
_cell_length_c 6.121
_cell_angle_alpha 90.00
_cell_angle_beta 90.00
_cell_angle_gamma 90.00
loop_
_space_group_symop_operation_xyz
'x,y,z'
loop_
_atom_site_label
_atom_site_fract_x
_atom_site_fract_y
_atom_site_fract_z
_atom_site_occupancy
In1 0.000 0.000 0.000 1
Hg1 0.500 0.500 0.500 1
Bi1 0.000 0.000 0.500 1
F1 0.000 0.500 0.000 1
F2 0.500 0.000 0.000 1
# Formation energy without anion corrections ... -1.21 eV/atom
# Magnetization ... 0.00 μB per cell
# Calculated volume ... 23.42 Å³/atom



# PBE KHgBiF6, relaxed
data_KHgBiF6
_space_group_name_H-M_alt 'P 1'
_space_group_IT_number 1
_cell_length_a 6.327
_cell_length_b 6.327
_cell_length_c 10.354
_cell_angle_alpha 90.00
_cell_angle_beta 90.00
_cell_angle_gamma 120.00
loop_
_space_group_symop_operation_xyz
'x,y,z'
loop_
_atom_site_label
_atom_site_fract_x
_atom_site_fract_y
_atom_site_fract_z
_atom_site_occupancy
K1 0.000 0.000 0.000 1
K2 0.000 0.000 0.500 1
Hg1 0.333 0.667 0.250 1
Hg2 0.667 0.333 0.750 1
Bi1 0.333 0.667 0.750 1
Bi2 0.667 0.333 0.250 1
F1 0.008 0.369 0.639 1
F2 0.008 0.639 0.861 1
F3 0.361 0.369 0.861 1
F4 0.361 0.992 0.639 1
F5 0.369 0.008 0.139 1
F6 0.369 0.361 0.361 1
F7 0.631 0.639 0.639 1
F8 0.631 0.992 0.861 1
F9 0.639 0.008 0.361 1
F10 0.639 0.631 0.139 1
F11 0.992 0.361 0.139 1
F12 0.992 0.631 0.361 1
# Formation energy without anion corrections ... -2.20 eV/atom
# Magnetization ... 0.00 μB per cell
# Calculated volume ... 19.94 Å³/atom



# PBE KHg2BiF8, relaxed
data_KHg2BiF8
_space_group_name_H-M_alt 'P 1'
_space_group_IT_number 1
_cell_length_a 4.104
_cell_length_b 5.798
_cell_length_c 8.082
_cell_angle_alpha 89.95
_cell_angle_beta 90.00
_cell_angle_gamma 89.87
loop_
_space_group_symop_operation_xyz
'x,y,z'
loop_
_atom_site_label
_atom_site_fract_x
_atom_site_fract_y
_atom_site_fract_z
_atom_site_occupancy
K1 0.000 0.000 0.000 1
Hg1 0.500 0.500 0.236 1
Hg2 0.500 0.500 0.764 1
Bi1 0.000 0.000 0.500 1
F1 0.001 0.741 0.280 1
F2 0.001 0.741 0.720 1
F3 0.499 0.230 0.500 1
F4 0.499 0.269 0.000 1
F5 0.501 0.731 0.000 1
F6 0.501 0.770 0.500 1
F7 0.999 0.259 0.280 1
F8 0.999 0.259 0.720 1
# Formation energy without anion corrections ... -2.00 eV/atom
# Magnetization ... 0.00 μB per cell
# Calculated volume ... 16.03 Å³/atom



# PBE K2HgBiF6, relaxed
data_K2HgBiF6
_space_group_name_H-M_alt 'P 1'
_space_group_IT_number 1
_cell_length_a 6.791
_cell_length_b 6.791
_cell_length_c 6.791
_cell_angle_alpha 60.00
_cell_angle_beta 60.00
_cell_angle_gamma 60.00
loop_
_space_group_symop_operation_xyz
'x,y,z'
loop_
_atom_site_label
_atom_site_fract_x
_atom_site_fract_y
_atom_site_fract_z
_atom_site_occupancy
K1 0.250 0.250 0.250 1
K2 0.750 0.750 0.750 1
Hg1 0.000 0.000 0.000 1
Bi1 0.500 0.500 0.500 1
F1 0.265 0.265 0.735 1
F2 0.265 0.735 0.265 1
F3 0.265 0.735 0.735 1
F4 0.735 0.265 0.265 1
F5 0.735 0.265 0.735 1
F6 0.735 0.735 0.265 1
# Formation energy without anion corrections ... -2.19 eV/atom
# Magnetization ... 0.00 μB per cell
# Calculated volume ... 22.15 Å³/atom



- Which value of calculated volume does entry 5 give?
  23.42 Å³/atom



- The lowest calculated volume belongs to which entry?
  KHg2BiF8



Copy entry 4 word for word.
# PBE HgBiIF2, relaxed
data_HgBiIF2
_space_group_name_H-M_alt 'P 1'
_space_group_IT_number 1
_cell_length_a 4.560
_cell_length_b 4.560
_cell_length_c 6.129
_cell_angle_alpha 90.00
_cell_angle_beta 90.00
_cell_angle_gamma 90.00
loop_
_space_group_symop_operation_xyz
'x,y,z'
loop_
_atom_site_label
_atom_site_fract_x
_atom_site_fract_y
_atom_site_fract_z
_atom_site_occupancy
Hg1 0.000 0.000 0.000 1
Bi1 0.000 0.000 0.500 1
I1 0.500 0.500 0.000 1
F1 0.000 0.500 0.500 1
F2 0.500 0.000 0.500 1
# Formation energy without anion corrections ... -1.29 eV/atom
# Magnetization ... 0.00 μB per cell
# Calculated volume ... 25.49 Å³/atom
# ΔE to the lowest computed polymorph ... 0.00 kcal/mol of atoms